A relaxed Cd2InRe crystal, computed with GGA-PBE.

It has space group R-3m (No. 166, hexagonal axes), with a = 2.9604 Å, b = 2.9604 Å, c = 32.0323 Å, α = 90.00°, β = 90.00° and γ = 120.00°. The asymmetric unit holds Cd at (0.0000, 0.0000, 0.2416), In at (0.0000, 0.0000, 0.0000) and Re at (0.0000, 0.0000, 0.5000).

As for the calculated formation energy: 538.7 meV/atom.

A relaxed CdInRe2 crystal, computed with GGA-PBE.

It has space group C2/m (No. 12), with a = 9.7601 Å, b = 2.9145 Å, c = 4.9772 Å, α = 90.00°, β = 100.48° and γ = 90.00°. The asymmetric unit holds Cd at (0.0000, 0.0000, 0.0000), In at (0.0000, 0.5000, 0.5000) and Re at (0.2481, 0.0000, 0.7542).

As for the calculated formation energy: 699.5 meV/atom. The value obtained for the excess energy over the best structure of this formula in the dataset is 467.3 meV/atom.

A relaxed Cd2InRe crystal, computed with GGA-PBE.

It has space group C2/m (No. 12), with a = 14.1984 Å, b = 2.8583 Å, c = 4.7339 Å, α = 90.00°, β = 109.47° and γ = 90.00°. The asymmetric unit holds Cd at (0.1862, 0.0000, 0.1812), In at (0.0000, 0.0000, 0.5000) and Re at (0.0000, 0.5000, 0.0000).

As for the calculated formation energy: 409.6 meV/atom.

A relaxed Cd2InRe crystal, computed with GGA-PBE.

It has space group Cmmm (No. 65), with a = 3.1619 Å, b = 4.7772 Å, c = 10.9903 Å, α = 90.00°, β = 90.00° and γ = 90.00°. The asymmetric unit holds Cd at (0.0000, 0.0000, 0.2197), In at (0.0000, 0.5000, 0.5000) and Re at (0.0000, 0.5000, 0.0000).

As for the calculated formation energy: 519.9 meV/atom.

A relaxed CdInRe2 crystal, computed with GGA-PBE.

It has space group Imm2 (No. 44), with a = 2.8136 Å, b = 4.8499 Å, c = 11.2268 Å, α = 90.00°, β = 90.00° and γ = 90.00°. The asymmetric unit holds Cd at (0.0000, 0.0000, 0.0000), In at (0.0000, 0.5000, 0.8086), Re at (0.0000, 0.0000, 0.5522) and Re at (0.0000, 0.5000, 0.2390).

As for the calculated formation energy: 641.8 meV/atom. The value obtained for the excess energy over the best structure of this formula in the dataset is 409.6 meV/atom.

A relaxed CdInRe2 crystal, computed with GGA-PBE.

It has space group F-43m (No. 216), with a = 6.5205 Å, b = 6.5205 Å, c = 6.5205 Å, α = 90.00°, β = 90.00° and γ = 90.00°. The asymmetric unit holds Cd at (0.0000, 0.0000, 0.0000), In at (0.2500, 0.2500, 0.7500), Re at (0.0000, 0.0000, 0.5000) and Re at (0.2500, 0.2500, 0.2500).

As for the calculated formation energy: 708.6 meV/atom. The value obtained for the excess energy over the best structure of this formula in the dataset is 476.4 meV/atom.

A relaxed CdInRe2 crystal, computed with GGA-PBE.

It has space group Amm2 (No. 38), with a = 2.9726 Å, b = 3.0476 Å, c = 16.8141 Å, α = 90.00°, β = 90.00° and γ = 90.00°. The asymmetric unit holds Cd at (0.0000, 0.0000, 0.0000), In at (0.5000, 0.0000, 0.8383), Re at (0.0000, 0.0000, 0.2130) and Re at (0.5000, 0.0000, 0.6270).

As for the calculated formation energy: 232.2 meV/atom. The value obtained for the excess energy over the best structure of this formula in the dataset is 0.0 meV/atom.

A relaxed CdInRe2 crystal, computed with GGA-PBE.

It has space group Cmmm (No. 65), with a = 5.5051 Å, b = 8.9797 Å, c = 2.8495 Å, α = 90.00°, β = 90.00° and γ = 90.00°. The asymmetric unit holds Cd at (0.0000, 0.0000, 0.0000), In at (0.0000, 0.5000, 0.0000) and Re at (0.2500, 0.2500, 0.5000).

As for the calculated formation energy: 851.6 meV/atom. The value obtained for the excess energy over the best structure of this formula in the dataset is 619.4 meV/atom.

A relaxed Cd2InRe crystal, computed with GGA-PBE.

It has space group Pmm2 (No. 25), with a = 2.8826 Å, b = 4.9538 Å, c = 5.4073 Å, α = 90.00°, β = 90.00° and γ = 90.00°. The asymmetric unit holds Cd at (0.0000, 0.0000, 0.0000), Cd at (0.5000, 0.5000, 0.1618), In at (0.0000, 0.5000, 0.6446) and Re at (0.5000, 0.0000, 0.4951).

As for the calculated formation energy: 505.9 meV/atom.

A relaxed CdInRe2 crystal, computed with GGA-PBE.

It has space group P4/mmm (No. 123), with a = 3.9587 Å, b = 3.9587 Å, c = 4.4883 Å, α = 90.00°, β = 90.00° and γ = 90.00°. The asymmetric unit holds Cd at (0.0000, 0.0000, 0.0000), In at (0.5000, 0.5000, 0.0000) and Re at (0.0000, 0.5000, 0.5000).

As for the calculated formation energy: 840.2 meV/atom. The value obtained for the excess energy over the best structure of this formula in the dataset is 608.0 meV/atom.

A relaxed CdInRe2 crystal, computed with GGA-PBE.

It has space group R-3m (No. 166, hexagonal axes), with a = 2.9040 Å, b = 2.9040 Å, c = 28.6081 Å, α = 90.00°, β = 90.00° and γ = 120.00°. The asymmetric unit holds Cd at (0.0000, 0.0000, 0.0000), In at (0.0000, 0.0000, 0.5000) and Re at (0.0000, 0.0000, 0.2489).

As for the calculated formation energy: 715.0 meV/atom. The value obtained for the excess energy over the best structure of this formula in the dataset is 482.7 meV/atom.

A relaxed Cd2InRe crystal, computed with GGA-PBE.

It has space group P4/mmm (No. 123), with a = 2.9255 Å, b = 2.9255 Å, c = 9.6363 Å, α = 90.00°, β = 90.00° and γ = 90.00°. The asymmetric unit holds Cd at (0.0000, 0.0000, 0.2179), In at (0.5000, 0.5000, 0.5000) and Re at (0.5000, 0.5000, 0.0000).

As for the calculated formation energy: 561.0 meV/atom.